No. 1
Density functional theory data (PBE) for La3Pr12Y after structural relaxation.

Lattice parameters (Å, degrees): 5.252 5.252 20.967 90.00 90.00 90.00
Fractional positions:
La1 0.000 0.000 0.000
La2 0.000 0.000 0.251
La3 0.000 0.000 0.749
Pr1 0.000 0.500 0.125
Pr2 0.000 0.500 0.377
Pr3 0.000 0.500 0.623
Pr4 0.000 0.500 0.875
Pr5 0.500 0.000 0.125
Pr6 0.500 0.000 0.377
Pr7 0.500 0.000 0.623
Pr8 0.500 0.000 0.875
Pr9 0.500 0.500 0.000
Pr10 0.500 0.500 0.252
Pr11 0.500 0.500 0.500
Pr12 0.500 0.500 0.748
Y1 0.000 0.000 0.500

Space group = No. 123
Size of the total moment = 0.000 μB per atom
V = 578.2 Å³ per cell
Formation energy = 0.01 eV per atom
DOS(E_F) = 26.93 states/eV/f.u.

***

No. 2
Density functional theory data (PBE) for Cs2LaI6F after structural relaxation.

Lattice parameters (Å, degrees): 8.621 8.621 8.621 113.53 113.53 101.63
Fractional positions:
Cs1 0.250 0.750 0.500
Cs2 0.750 0.250 0.500
La1 0.000 0.000 0.000
I1 0.234 0.234 0.469
I2 0.234 0.766 0.000
I3 0.292 0.292 0.000
I4 0.708 0.708 0.000
I5 0.766 0.234 0.000
I6 0.766 0.766 0.531
F1 0.500 0.500 0.000

Space group = No. 139
Size of the total moment = 0.000 μB per atom
V = 486.5 Å³ per cell
Raw total energy = -3.03 eV/atom
DOS(E_F) = 0.20 states/eV/f.u.